# PBE+U MgMoH2O5, optimized geometry
data_MgMoH2O5
_chemical_formula_sum 'Mg2 Mo2 H4 O10'
_symmetry_space_group_name_H-M 'P -1'
_symmetry_Int_Tables_number 2
_symmetry_space_group_name_Hall '-P 1'
_cell_length_a 5.755
_cell_length_b 5.888
_cell_length_c 7.026
_cell_angle_alpha 100.29
_cell_angle_beta 94.95
_cell_angle_gamma 106.46
loop_
_atom_site_label
_atom_site_type_symbol
_atom_site_fract_x
_atom_site_fract_y
_atom_site_fract_z
_atom_site_occupancy
Mg1 Mg 0.141 0.208 0.194 1
Mo1 Mo 0.245 0.379 0.746 1
H1 H 0.377 0.855 0.197 1
H2 H 0.424 0.897 0.807 1
O1 O 0.116 0.143 0.878 1
O2 O 0.145 0.639 0.820 1
O3 O 0.147 0.264 0.493 1
O4 O 0.408 0.031 0.217 1
O5 O 0.424 0.532 0.209 1
# density of states at the Fermi level = 0.0 states/eV/f.u.
# total moment = 0.000 μB/f.u.
# electronic total energy = -111.285 eV for the cell shown